An optimized crystal structure of FeMo2Pd8, computed with PBE-GGA.

a = 3.897 Å, b = 6.192 Å, c = 7.387 Å
α = 104.03°, β = 105.29°, γ = 90.00°
Fractional positions:
1 Mo 0.228 0.626 0.456
2 Mo 0.772 0.374 0.544
3 Fe 0.500 0.000 0.000
4 Pd 0.592 0.451 0.184
5 Pd 0.319 0.087 0.637
6 Pd 0.137 0.183 0.275
7 Pd 0.046 0.734 0.092
8 Pd 0.863 0.817 0.725
9 Pd 0.681 0.913 0.363
10 Pd 0.408 0.549 0.816
11 Pd 0.954 0.266 0.908

Properties
As for the crystal system: monoclinic. Its energy of formation is -6.6 kJ per mole of atoms. The calculation puts the density of states at the Fermi level at 0.946 states/eV/atom.